No. 1
# ZnRh3Au, optimized geometry, DFT GGA-PBE
# Spin magnetization (μB/cell): 2.48
# Energy (eV/atom): -4.271
# Energy of formation from the pure elements (eV/atom): 1.0504
data_ZnRh3Au
_symmetry_space_group_name_H-M 'P m -3 m'
_symmetry_Int_Tables_number 221
_symmetry_space_group_name_Hall '-P 4 2 3'
_cell_length_a 4.532
_cell_length_b 4.532
_cell_length_c 4.532
_cell_angle_alpha 90.00
_cell_angle_beta 90.00
_cell_angle_gamma 90.00
loop_
_atom_site_label
_atom_site_type_symbol
_atom_site_fract_x
_atom_site_fract_y
_atom_site_fract_z
Zn1 Zn 0.000 0.000 0.000
Rh1 Rh 0.000 0.000 0.500
Au1 Au 0.500 0.500 0.500


No. 2
# PrOsC2, optimized geometry, DFT GGA-PBE
# Spin magnetization (μB/cell): 0.00
# Energy (eV/atom): -8.144
# Energy of formation from the pure elements (eV/atom): 0.4707
data_PrOsC2
_symmetry_space_group_name_H-M 'R -3 m'
_symmetry_Int_Tables_number 166
_symmetry_space_group_name_Hall '-R 3 2"'
_cell_length_a 3.4049
_cell_length_b 3.4049
_cell_length_c 16.1367
_cell_angle_alpha 90.00
_cell_angle_beta 90.00
_cell_angle_gamma 120.00
loop_
_atom_site_label
_atom_site_type_symbol
_atom_site_fract_x
_atom_site_fract_y
_atom_site_fract_z
Pr1 Pr 0.0000 0.0000 0.0000
Os1 Os 0.0000 0.0000 0.5000
C1 C 0.0000 0.0000 0.2258


No. 3
# SrCr2Rh, optimized geometry, DFT GGA-PBE
# Spin magnetization (μB/cell): 0.00
# Energy (eV/atom): -6.610
# Energy of formation from the pure elements (eV/atom): 0.4604
data_SrCr2Rh
_symmetry_space_group_name_H-M 'C 1 2/m 1'
_symmetry_Int_Tables_number 12
_cell_length_a 9.557
_cell_length_b 3.043
_cell_length_c 5.510
_cell_angle_alpha 90.00
_cell_angle_beta 101.65
_cell_angle_gamma 90.00
loop_
_symmetry_equiv_pos_as_xyz
'x,y,z'
'-x,-y,-z'
'-x,y,-z'
'x,-y,z'
'x+1/2,y+1/2,z'
'-x+1/2,-y+1/2,-z'
'-x+1/2,y+1/2,-z'
'x+1/2,-y+1/2,z'
loop_
_atom_site_label
_atom_site_type_symbol
_atom_site_fract_x
_atom_site_fract_y
_atom_site_fract_z
Sr1 Sr 0.000 0.000 0.000
Cr1 Cr 0.218 0.000 0.613
Rh1 Rh 0.000 0.500 0.500


No. 4
# TmGa3Ni2, optimized geometry, DFT GGA-PBE
# Spin magnetization (μB/cell): 0.00
# Energy (eV/atom): -4.715
# Energy of formation from the pure elements (eV/atom): -0.5296
data_TmGa3Ni2
_symmetry_space_group_name_H-M 'C m c m'
_symmetry_Int_Tables_number 63
_symmetry_space_group_name_Hall '-C 2c 2'
_cell_length_a 9.161
_cell_length_b 7.929
_cell_length_c 5.232
_cell_angle_alpha 90.00
_cell_angle_beta 90.00
_cell_angle_gamma 90.00
loop_
_atom_site_label
_atom_site_type_symbol
_atom_site_fract_x
_atom_site_fract_y
_atom_site_fract_z
Tm1 Tm 0.000 0.147 0.250
Ga1 Ga 0.000 0.474 0.750
Ga2 Ga 0.172 0.222 0.750
Ni1 Ni 0.226 0.500 0.000


No. 5
# MnP2PbS, optimized geometry, DFT GGA-PBE
# Spin magnetization (μB/cell): 1.15
# ΔE_f (raw) (meV per atom): 1900
# Energy (eV/atom): -3.665
data_MnP2PbS
_symmetry_space_group_name_H-M 'P 4/m m m'
_symmetry_Int_Tables_number 123
_symmetry_space_group_name_Hall '-P 4 2'
_cell_length_a 5.208
_cell_length_b 5.208
_cell_length_c 5.180
_cell_angle_alpha 90.00
_cell_angle_beta 90.00
_cell_angle_gamma 90.00
loop_
_atom_site_label
_atom_site_type_symbol
_atom_site_fract_x
_atom_site_fract_y
_atom_site_fract_z
Mn1 Mn 0.000 0.000 0.000
P1 P 0.000 0.500 0.500
Pb1 Pb 0.500 0.500 0.500
S1 S 0.500 0.500 0.000


No. 6
# TbPmY2Er2, optimized geometry, DFT GGA-PBE
# Spin magnetization (μB/cell): 0.01
# Energy (eV/atom): -4.969
# Energy of formation from the pure elements (eV/atom): 0.2700
data_TbPmY2Er2
_symmetry_space_group_name_H-M 'P n n m'
_symmetry_Int_Tables_number 58
_cell_length_a 6.528
_cell_length_b 17.804
_cell_length_c 3.401
_cell_angle_alpha 90.00
_cell_angle_beta 90.00
_cell_angle_gamma 90.00
loop_
_symmetry_equiv_pos_as_xyz
'x,y,z'
'-x,-y,-z'
'-x,-y,z'
'x,y,-z'
'x+1/2,-y+1/2,-z+1/2'
'-x+1/2,y+1/2,z+1/2'
'-x+1/2,y+1/2,-z+1/2'
'x+1/2,-y+1/2,z+1/2'
loop_
_atom_site_label
_atom_site_type_symbol
_atom_site_fract_x
_atom_site_fract_y
_atom_site_fract_z
Tb1 Tb 0.000 0.000 0.000
Pm1 Pm 0.000 0.500 0.000
Y1 Y 0.225 0.313 0.000
Er1 Er 0.223 0.147 0.500


No. 7
# TbSmRhBr, optimized geometry, DFT GGA-PBE
# Spin magnetization (μB/cell): 0.00
# ΔE_f (raw) (meV per atom): -1073
# Energy (eV/atom): -5.666
data_TbSmRhBr
_symmetry_space_group_name_H-M 'R 3 m'
_symmetry_Int_Tables_number 160
_symmetry_space_group_name_Hall 'R 3 -2"'
_cell_length_a 4.0304
_cell_length_b 4.0304
_cell_length_c 23.3808
_cell_angle_alpha 90.00
_cell_angle_beta 90.00
_cell_angle_gamma 120.00
loop_
_atom_site_label
_atom_site_type_symbol
_atom_site_fract_x
_atom_site_fract_y
_atom_site_fract_z
Tb1 Tb 0.0000 0.0000 0.0000
Sm1 Sm 0.0000 0.0000 0.7951
Rh1 Rh 0.0000 0.0000 0.3962
Br1 Br 0.0000 0.0000 0.5678


No. 8
# Y12Tm3Th, optimized geometry, DFT GGA-PBE
# Spin magnetization (μB/cell): 0.00
# Energy (eV/atom): -6.118
# Energy of formation from the pure elements (eV/atom): 0.0326
data_Y12Tm3Th
_symmetry_space_group_name_H-M 'P 4/m m m'
_symmetry_Int_Tables_number 123
_symmetry_space_group_name_Hall '-P 4 2'
_cell_length_a 5.040
_cell_length_b 5.040
_cell_length_c 20.122
_cell_angle_alpha 90.00
_cell_angle_beta 90.00
_cell_angle_gamma 90.00
loop_
_atom_site_label
_atom_site_type_symbol
_atom_site_fract_x
_atom_site_fract_y
_atom_site_fract_z
Y1 Y 0.000 0.000 0.000
Y2 Y 0.000 0.000 0.248
Y3 Y 0.000 0.000 0.500
Y4 Y 0.000 0.500 0.125
Y5 Y 0.000 0.500 0.375
Tm1 Tm 0.500 0.500 0.000
Tm2 Tm 0.500 0.500 0.250
Th1 Th 0.500 0.500 0.500


No. 9
# GaAg4Au, optimized geometry, DFT GGA-PBE
# Spin magnetization (μB/cell): 0.00
# Energy (eV/atom): -2.896
# Energy of formation from the pure elements (eV/atom): 0.0555
data_GaAg4Au
_symmetry_space_group_name_H-M 'C 1 2/m 1'
_symmetry_Int_Tables_number 12
_cell_length_a 11.762
_cell_length_b 7.725
_cell_length_c 5.091
_cell_angle_alpha 90.00
_cell_angle_beta 98.35
_cell_angle_gamma 90.00
loop_
_symmetry_equiv_pos_as_xyz
'x,y,z'
'-x,-y,-z'
'-x,y,-z'
'x,-y,z'
'x+1/2,y+1/2,z'
'-x+1/2,-y+1/2,-z'
'-x+1/2,y+1/2,-z'
'x+1/2,-y+1/2,z'
loop_
_atom_site_label
_atom_site_type_symbol
_atom_site_fract_x
_atom_site_fract_y
_atom_site_fract_z
Ga1 Ga 0.203 0.000 0.124
Ag1 Ag 0.000 0.188 0.000
Ag2 Ag 0.126 0.182 0.536
Ag3 Ag 0.171 0.500 0.271
Au1 Au 0.071 0.500 0.751


No. 10
# SrLi3Pd, optimized geometry, DFT GGA-PBE
# Spin magnetization (μB/cell): 0.00
# Energy (eV/atom): -1.444
# Energy of formation from the pure elements (eV/atom): 1.0796
data_SrLi3Pd
_symmetry_space_group_name_H-M 'P m -3 m'
_symmetry_Int_Tables_number 221
_symmetry_space_group_name_Hall '-P 4 2 3'
_cell_length_a 5.157
_cell_length_b 5.157
_cell_length_c 5.157
_cell_angle_alpha 90.00
_cell_angle_beta 90.00
_cell_angle_gamma 90.00
loop_
_atom_site_label
_atom_site_type_symbol
_atom_site_fract_x
_atom_site_fract_y
_atom_site_fract_z
Sr1 Sr 0.000 0.000 0.000
Li1 Li 0.000 0.000 0.500
Pd1 Pd 0.500 0.500 0.500


No. 11
# CaLa5Dy3, optimized geometry, DFT GGA-PBE
# Spin magnetization (μB/cell): 0.00
# Energy (eV/atom): -4.309
# Energy of formation from the pure elements (eV/atom): 0.1851
data_CaLa5Dy3
_symmetry_space_group_name_H-M 'C 1 2/c 1'
_symmetry_Int_Tables_number 15
_cell_length_a 16.493
_cell_length_b 6.999
_cell_length_c 11.933
_cell_angle_alpha 90.00
_cell_angle_beta 109.50
_cell_angle_gamma 90.00
loop_
_symmetry_equiv_pos_as_xyz
'x,y,z'
'-x,-y,-z'
'-x,y,-z+1/2'
'x,-y,z+1/2'
'x+1/2,y+1/2,z'
'-x+1/2,-y+1/2,-z'
'-x+1/2,y+1/2,-z+1/2'
'x+1/2,-y+1/2,z+1/2'
loop_
_atom_site_label
_atom_site_type_symbol
_atom_site_fract_x
_atom_site_fract_y
_atom_site_fract_z
Ca1 Ca 0.000 0.235 0.250
La1 La 0.000 0.309 0.750
La2 La 0.110 0.500 0.049
La3 La 0.174 0.103 0.851
Dy1 Dy 0.000 0.000 0.000
Dy2 Dy 0.245 0.400 0.375